Below is an optimized crystal structure of HfCoSiRu, with properties calculated at the PBE-GGA level.

Summary:
Formation energy (no corrections), eV/atom: -0.605
Space-group type: F-43m
Total magnetic moment, μB per formula unit: 0.99
VASP energy, eV for the cell shown: -34.180

Structure (POSCAR):
```
HfCoSiRu
1.0
4.3054 0.0000 0.0000
2.1527 3.7285 0.0000
2.1527 1.2428 3.5153
Hf Si Ru Co
1 1 1 1
Direct
0.2500 0.2500 0.2500
0.7500 0.7500 0.7500
0.5000 0.5000 0.5000
0.0000 0.0000 0.0000
```



Below is an optimized crystal structure of PmPrCuSn, with properties calculated at the PBE-GGA level.

Summary:
Space-group type: F-43m
Total magnetic moment, μB per formula unit: 0.00
VASP energy, eV for the cell shown: -19.296
DFT formation energy, eV per atom: -0.417

Structure (POSCAR):
```
PmPrCuSn
1.0
-2.3210 4.7878 -0.2168
-4.0833 0.8318 -3.3154
-4.9132 0.6675 1.9421
Pr Cu Pm Sn
1 1 1 1
Direct
0.5000 0.5000 0.5000
0.7500 0.7500 0.7500
0.0000 0.0000 0.0000
0.2500 0.2500 0.2500
```



Below is an optimized crystal structure of Tb2HoTl2Cd2, with properties calculated at the PBE-GGA level.

Summary:
Space-group type: R-3m
Total magnetic moment, μB per formula unit: 0.00
VASP energy, eV for the cell shown: -21.245
DFT formation energy, eV per atom: -0.121

Structure (POSCAR):
```
Tb2HoTl2Cd2
1.0
5.0073 0.0000 0.0000
2.5036 4.3364 0.0000
2.5036 1.4455 8.7193
Tl Ho Cd Tb
2 1 2 2
Direct
0.2712 0.2712 0.1864
0.7288 0.7288 0.8136
0.0000 0.0000 0.0000
0.4242 0.4242 0.7273
0.5758 0.5758 0.2727
0.1319 0.1319 0.6042
0.8681 0.8681 0.3958
```



> Among the records above, which one has the lowest VASP energy?

HfCoSiRu